#a
Below is a relaxed NpMoIr2 crystal, with properties calculated at the PBE-GGA level.

## Properties
N(E_F) in states/eV per atom: 0.92

Lattice parameters (Å, degrees): 2.7721 2.7721 9.9102 81.96 81.96 60.00
Last column: magnetic moment on the atom in μB.
Sites, in units of the cell vectors:
Np 0.0000 0.0000 0.0000  2.74
Mo 0.5000 0.5000 0.5000  -0.04
Ir 0.7571 0.7571 0.7288  0.00
Ir 0.2429 0.2429 0.2712  0.00


#b
Below is a relaxed NpMoIr2 crystal, with properties calculated at the PBE-GGA level.

## Properties
N(E_F) in states/eV per atom: 1.02

Lattice parameters (Å, degrees): 4.0908 4.0149 4.0149 90.00 90.00 90.00
Last column: magnetic moment on the atom in μB.
Sites, in units of the cell vectors:
Np 0.5000 0.5000 0.5000  0.54
Mo 0.5000 0.0000 0.0000  -0.11
Ir 0.0000 0.0000 0.5000  -0.05
Ir 0.0000 0.5000 0.0000  -0.05


The most stable structure shown above is #b; the least stable is #a.